Entry 1:
The following is a DFT calculation (PBE-GGA) of a relaxed structure of TaRh2Br.

Calculated values
**E_form (uncorrected)**: 0.358 eV per atom

Unit cell a=4.7834 b=4.7834 c=4.7834 alpha=127.69 beta=127.69 gamma=77.13
Fractional positions:
Rh 0.0000 0.0000 0.0000
Rh 0.5000 0.5000 0.0000
Br 0.7500 0.2500 0.5000
Ta 0.2500 0.7500 0.5000


Entry 2:
The following is a DFT calculation (PBE-GGA) of a relaxed structure of MgTa2InRe.

Calculated values
**Energy of formation from the pure elements**: 1.052 eV/atom

Unit cell a=4.8661 b=5.0409 c=4.8661 alpha=90.00 beta=90.00 gamma=90.00
Fractional positions:
Re 0.0000 0.0000 0.0000
Mg 0.0000 0.5000 0.0000
In 0.5000 0.5000 0.5000
Ta 0.0000 0.0000 0.5000
Ta 0.5000 0.0000 0.0000


Entry 3:
The following is a DFT calculation (PBE-GGA) of a relaxed structure of ZrCo3S.

Calculated values
**E_form (uncorrected)**: -0.059 eV per atom

Unit cell a=4.1324 b=4.1324 c=4.1324 alpha=90.00 beta=90.00 gamma=90.00
Each line ends with the local moment (μB).
Fractional positions:
S 0.0000 0.0000 0.0000  0.03
Co 0.0000 0.5000 0.0000  0.55
Co 0.0000 0.0000 0.5000  0.34
Co 0.5000 0.0000 0.0000  0.63
Zr 0.5000 0.5000 0.5000  -0.11